(1)
YPd3Au4 | PBE | optimized geometry

Computed properties:
Its space group is C2/m (12). Its energy of formation is -0.416 eV per atom. The value obtained for the calculated total energy is -4.810 eV/atom. The energy relative to the lowest polymorph listed for this composition is 41 meV per atom.

Unit cell a=8.7427 b=8.7427 c=4.1699 alpha=103.72 beta=103.72 gamma=27.67
Last column: nearest neighbours and their distance in Å.
Element x y z (fractional)
Y  0.0000  0.0000  0.0000  4 Pd 2.95, 8 Au 2.99-3.00
Pd  0.2531  0.2531  0.2530  8 Au 2.83-2.90, 4 Pd 2.95
Pd  0.5000  0.5000  0.5000  4 Y 2.95, 8 Au 2.99-3.00
Pd  0.7469  0.7469  0.7470  8 Au 2.83-2.90, 4 Pd 2.95
Au  0.1304  0.1304  0.6306  6 Pd 2.84-3.00, 4 Au 2.95, 2 Y 2.99-3.00
Au  0.3694  0.3694  0.8690  6 Pd 2.83-3.00, 4 Au 2.95, 2 Y 3.00
Au  0.6306  0.6306  0.1310  6 Pd 2.83-3.00, 4 Au 2.95, 2 Y 3.00
Au  0.8696  0.8696  0.3694  6 Pd 2.84-3.00, 4 Au 2.95, 2 Y 2.99-3.00



(2)
Sc2CdSbOs | PBE | optimized geometry

Computed properties:
Its space group is P4/mmm (123). The value obtained for the calculated total energy is -5.762 eV/atom. As for the uncorrected formation energy: 0.02 eV per atom.

Unit cell a=5.0993 b=5.0993 c=5.0173 alpha=90.00 beta=90.00 gamma=90.00
Last column: nearest neighbours and their distance in Å.
Element x y z (fractional)
Sc  0.0000  0.5000  0.0000  2 Os 2.55
Sc  0.5000  0.0000  0.0000  2 Os 2.55
Cd  0.0000  0.0000  0.5000  8 Sc 3.58, 4 Sb 3.61
Sb  0.5000  0.5000  0.5000  2 Os 2.51
Os  0.5000  0.5000  0.0000  2 Sb 2.51, 4 Sc 2.55



(3)
Ac2MgTl8 | PBE | optimized geometry

Computed properties:
Its space group is P4/mmm (123). Its energy of formation is -0.221 eV per atom. The value obtained for the calculated total energy is -2.834 eV/atom.

Unit cell a=5.1403 b=5.1403 c=12.8009 alpha=90.00 beta=90.00 gamma=90.00
Last column: nearest neighbours and their distance in Å.
Element x y z (fractional)
Ac  0.0000  0.0000  0.1913  12 Tl 3.46-3.63
Ac  0.0000  0.0000  0.8087  12 Tl 3.46-3.63
Mg  0.0000  0.0000  0.5000  8 Tl 3.04
Tl  0.0000  0.5000  0.0000  8 Tl 3.55-3.63, 4 Ac 3.55
Tl  0.0000  0.5000  0.3728  2 Mg 3.04, 1 Tl 3.26
Tl  0.0000  0.5000  0.6272  2 Mg 3.04, 1 Tl 3.26
Tl  0.5000  0.0000  0.0000  8 Tl 3.55-3.63, 4 Ac 3.55
Tl  0.5000  0.0000  0.3728  2 Mg 3.04, 1 Tl 3.26
Tl  0.5000  0.0000  0.6272  2 Mg 3.04, 1 Tl 3.26
Tl  0.5000  0.5000  0.1907  8 Tl 3.47-3.55, 4 Ac 3.63
Tl  0.5000  0.5000  0.8093  8 Tl 3.47-3.55, 4 Ac 3.63



(4)
KTl3Rh | PBE | optimized geometry

Computed properties:
Its space group is Pm-3m (221). Its energy of formation is -0.068 eV per atom. The value obtained for the calculated total energy is -3.177 eV/atom. The energy relative to the lowest polymorph listed for this composition is 0 meV per atom.

Unit cell a=5.3616 b=5.3616 c=5.3616 alpha=90.00 beta=90.00 gamma=90.00
Last column: nearest neighbours and their distance in Å.
Element x y z (fractional)
K  0.0000  0.0000  0.0000  12 Tl 3.79
Tl  0.0000  0.5000  0.5000  2 Rh 2.68
Tl  0.5000  0.0000  0.5000  2 Rh 2.68
Tl  0.5000  0.5000  0.0000  2 Rh 2.68
Rh  0.5000  0.5000  0.5000  6 Tl 2.68



(5)
ZrCdAs | PBE | optimized geometry

Computed properties:
Its space group is Pmmn (59). Its energy of formation is -0.613 eV per atom. The value obtained for the calculated total energy is -5.317 eV/atom. The energy relative to the lowest polymorph listed for this composition is 0 meV per atom.

Unit cell a=3.6489 b=3.7881 c=9.5832 alpha=90.00 beta=90.00 gamma=90.00
Last column: nearest neighbours and their distance in Å.
Element x y z (fractional)
Zr  0.2500  0.2500  0.1078  5 As 2.73-2.82
Zr  0.7500  0.7500  0.8922  5 As 2.73-2.82
Cd  0.2500  0.7500  0.5767  2 As 2.96, 4 Cd 3.01
Cd  0.7500  0.2500  0.4233  2 As 2.96, 4 Cd 3.01
As  0.2500  0.2500  0.8140  5 Zr 2.73-2.82, 2 Cd 2.96
As  0.7500  0.7500  0.1860  5 Zr 2.73-2.82, 2 Cd 2.96



(6)
Cs2BeSiBr6 | PBE | optimized geometry

Computed properties:
Its space group is I4/mmm (139). The value obtained for the calculated total energy is -3.072 eV/atom. As for the uncorrected formation energy: -0.98 eV per atom.

Unit cell a=7.6665 b=7.6665 c=7.6665 alpha=122.00 beta=122.00 gamma=86.56
Last column: nearest neighbours and their distance in Å.
Element x y z (fractional)
Cs  0.2500  0.7500  0.5000  12 Br 3.72-3.84
Cs  0.7500  0.2500  0.5000  12 Br 3.72-3.84
Be  0.0000  0.0000  0.0000  4 Br 2.42
Si  0.5000  0.5000  0.0000  6 Br 2.69-2.84
Br  0.2299  0.2299  0.4598  1 Be 2.42
Br  0.2299  0.7701  0.0000  1 Be 2.42
Br  0.2593  0.2593  0.0000  1 Si 2.69, 1 Be 2.89
Br  0.7407  0.7407  0.0000  1 Si 2.69, 1 Be 2.89
Br  0.7701  0.2299  0.0000  1 Be 2.42
Br  0.7701  0.7701  0.5402  1 Be 2.42